Compound: Li6Mn3P8O29
Source: Alexandria via LeMat-Bulk
Functional: meta-GGA SCAN
Structure: PBEsol geometry

Cell: 9.5682 9.5747 13.7690 Å, 89.56 89.60 60.07°
Element x y z (fractional)
Li: 0.0000 0.0000 0.0000
Li: 0.0012 0.5618 0.0555
Li: 0.3455 0.8930 0.6738
Li: 0.3621 0.7508 0.1772
Li: 0.4283 0.0082 0.0561
Li: 0.4417 0.5655 0.5547
Li: 0.5686 0.9998 0.5528
Li: 0.7590 0.8932 0.1753
Li: 0.7696 0.3321 0.6790
Li: 0.8999 0.3458 0.1749
Li: 0.9019 0.7631 0.6727
Li: 0.9922 0.4378 0.5520
Mn: 0.0980 0.2364 0.3645
Mn: 0.0998 0.6635 0.8657
Mn: 0.2378 0.6671 0.3643
Mn: 0.2395 0.0926 0.8610
Mn: 0.6686 0.1000 0.3610
Mn: 0.6688 0.2348 0.8679
P: 0.0011 0.9974 0.7446
P: 0.0039 0.9999 0.2433
P: 0.3347 0.3317 0.4824
P: 0.3372 0.3246 0.9817
P: 0.3439 0.9013 0.4554
P: 0.3452 0.7546 0.9588
P: 0.4324 0.9940 0.2727
P: 0.4363 0.5750 0.7759
P: 0.5815 0.9887 0.7716
P: 0.5843 0.4389 0.2769
P: 0.7573 0.3386 0.4604
P: 0.7569 0.8949 0.9559
P: 0.9004 0.7589 0.4543
P: 0.9019 0.3391 0.9554
P: 0.9921 0.4308 0.7721
P: 0.9934 0.5776 0.2731
O: 0.0043 0.0021 0.1338
O: 0.0042 0.4116 0.2739
O: 0.0052 0.5851 0.7744
O: 0.0505 0.1692 0.9366
O: 0.0496 0.7752 0.4353
O: 0.1556 0.2793 0.7887
O: 0.1584 0.5620 0.2916
O: 0.1632 0.8510 0.2805
O: 0.1633 0.9837 0.7811
O: 0.1732 0.3446 0.4450
O: 0.1738 0.7790 0.9385
O: 0.1784 0.0504 0.4369
O: 0.1778 0.4808 0.9488
O: 0.2832 0.1586 0.2920
O: 0.2854 0.5605 0.7938
O: 0.3325 0.7464 0.4563
O: 0.3315 0.9230 0.9547
O: 0.3340 0.3037 0.0891
O: 0.3405 0.3221 0.5907
O: 0.3422 0.4847 0.4472
O: 0.3469 0.1690 0.9360
O: 0.4131 0.5883 0.2762
O: 0.4154 0.9983 0.7712
O: 0.4158 0.6704 0.0512
O: 0.4201 0.9167 0.1814
O: 0.4227 0.9131 0.5465
O: 0.4271 0.6630 0.6835
O: 0.4565 0.6654 0.8670
O: 0.4572 0.8787 0.3637
O: 0.4825 0.1754 0.4396
O: 0.4836 0.3367 0.9428
O: 0.5699 0.1508 0.7915
O: 0.5735 0.2839 0.2875
O: 0.5874 0.0056 0.2712
O: 0.5916 0.4088 0.7771
O: 0.6536 0.4636 0.3777
O: 0.6629 0.9096 0.0463
O: 0.6710 0.8736 0.8632
O: 0.6711 0.9103 0.6800
O: 0.6728 0.4061 0.5552
O: 0.6812 0.4422 0.1939
O: 0.7445 0.9238 0.4533
O: 0.7510 0.3225 0.9574
O: 0.7759 0.1742 0.4357
O: 0.7830 0.0406 0.9400
O: 0.8547 0.9878 0.2796
O: 0.8562 0.1568 0.7866
O: 0.8777 0.6684 0.3632
O: 0.8793 0.4514 0.8637
O: 0.9112 0.4244 0.6808
O: 0.9130 0.6673 0.5459
O: 0.9170 0.6661 0.1805
O: 0.9220 0.4140 0.0452
O: 0.9225 0.3305 0.4564
O: 0.9241 0.7405 0.9577
O: 0.9900 0.8486 0.7851
O: 0.9926 0.1592 0.2810
O: 0.9959 0.9986 0.6365

Raw total energy (eV/atom): -9.660
ΔE_f (raw) (eV/atom): -2.421